Entry from Alexandria via LeMat-Bulk: Nd3DyPd12 after structural relaxation (PBE-GGA).

abc: 4.176 4.176 16.795
angles: 90.00 90.00 90.00
Atoms (fractional coordinates):
Nd1 0.000 0.000 0.247
Nd2 0.000 0.000 0.500
Nd3 0.000 0.000 0.753
Dy1 0.000 0.000 0.000
Pd1 0.500 0.500 0.000
Pd2 0.500 0.500 0.248
Pd3 0.500 0.500 0.500
Pd4 0.500 0.500 0.752
Pd5 0.500 0.000 0.121
Pd6 0.500 0.000 0.374
Pd7 0.500 0.000 0.626
Pd8 0.500 0.000 0.879
Pd9 0.000 0.500 0.121
Pd10 0.000 0.500 0.374
Pd11 0.000 0.500 0.626
Pd12 0.000 0.500 0.879

- ΔE_f: -1225 kJ/mol of formula units
- E: -5.870 eV per atom
- DOS at the Fermi energy: 9.91 states/eV/f.u.

=====

Entry from Alexandria via LeMat-Bulk: Nd2DyPd4 after structural relaxation (PBE-GGA).

abc: 5.041 5.041 8.287
angles: 107.71 107.71 90.00
Atoms (fractional coordinates):
Nd1 0.636 0.636 0.272
Nd2 0.364 0.364 0.728
Dy1 0.000 0.000 0.000
Pd1 0.820 0.820 0.640
Pd2 0.180 0.180 0.360
Pd3 0.000 0.500 0.000
Pd4 0.500 0.000 0.000

- ΔE_f: -163 kJ/mol of formula units
- E: -5.229 eV per atom
- DOS at the Fermi energy: 4.64 states/eV/f.u.

=====

Entry from Alexandria via LeMat-Bulk: NdDy2Pd after structural relaxation (PBE-GGA).

abc: 3.788 6.581 9.349
angles: 90.00 90.00 106.77
Atoms (fractional coordinates):
Nd1 0.939 0.879 0.250
Nd2 0.061 0.121 0.750
Dy1 0.362 0.726 0.560
Dy2 0.638 0.274 0.440
Dy3 0.362 0.726 0.940
Dy4 0.638 0.274 0.060
Pd1 0.763 0.527 0.750
Pd2 0.237 0.473 0.250

- ΔE_f: -169 kJ/mol of formula units
- Excess energy over the best structure of this formula in the dataset: 0.06 eV per formula unit
- E: -5.230 eV per atom
- DOS at the Fermi energy: 4.45 states/eV/f.u.

=====

Entry from Alexandria via LeMat-Bulk: NdDy2Pd3 after structural relaxation (PBE-GGA).

abc: 3.462 5.057 15.281
angles: 90.00 90.00 90.00
Atoms (fractional coordinates):
Nd1 0.998 0.500 0.500
Nd2 0.002 0.000 0.000
Dy1 0.000 0.000 0.667
Dy2 0.000 0.000 0.333
Dy3 0.000 0.500 0.167
Dy4 0.000 0.500 0.833
Pd1 0.500 0.500 0.676
Pd2 0.498 0.000 0.500
Pd3 0.500 0.500 0.324
Pd4 0.500 0.000 0.176
Pd5 0.502 0.500 0.000
Pd6 0.500 0.000 0.824

- ΔE_f: -484 kJ/mol of formula units
- Excess energy over the best structure of this formula in the dataset: 0.00 eV per formula unit
- E: -5.761 eV per atom
- DOS at the Fermi energy: 3.18 states/eV/f.u.

=====

Entry from Alexandria via LeMat-Bulk: NdDyPd after structural relaxation (PBE-GGA).

abc: 3.602 3.602 6.719
angles: 105.55 105.55 90.00
Atoms (fractional coordinates):
Nd1 0.023 0.023 0.047
Pd1 0.678 0.678 0.355
Dy1 0.299 0.299 0.598

- ΔE_f: -146 kJ/mol of formula units
- Excess energy over the best structure of this formula in the dataset: 0.09 eV per formula unit
- E: -5.359 eV per atom
- DOS at the Fermi energy: 3.24 states/eV/f.u.

=====

Entry from Alexandria via LeMat-Bulk: NdDy3Pd after structural relaxation (PBE-GGA).

abc: 5.479 5.479 5.479
angles: 90.00 90.00 90.00
Atoms (fractional coordinates):
Nd1 0.500 0.500 0.500
Pd1 0.000 0.000 0.000
Dy1 0.000 0.500 0.000
Dy2 0.000 0.000 0.500
Dy3 0.500 0.000 0.000

- ΔE_f: -80 kJ/mol of formula units
- Excess energy over the best structure of this formula in the dataset: 0.84 eV per formula unit
- E: -4.918 eV per atom
- DOS at the Fermi energy: 8.95 states/eV/f.u.

=====

- Which of these has the lowest DOS at the Fermi energy?
  NdDy2Pd3

=====

What did the second record say?
Entry from Alexandria via LeMat-Bulk: Nd2DyPd4 after structural relaxation (PBE-GGA).

abc: 5.041 5.041 8.287
angles: 107.71 107.71 90.00
Atoms (fractional coordinates):
Nd1 0.636 0.636 0.272
Nd2 0.364 0.364 0.728
Dy1 0.000 0.000 0.000
Pd1 0.820 0.820 0.640
Pd2 0.180 0.180 0.360
Pd3 0.000 0.500 0.000
Pd4 0.500 0.000 0.000

- ΔE_f: -163 kJ/mol of formula units
- E: -5.229 eV per atom
- DOS at the Fermi energy: 4.64 states/eV/f.u.